Entry 1:
! GeI2O, relaxed, DFT PBE; values from VASP
! Total magnetization, μB per cell: 0.00
! Total energy, eV per atom: -2.729
! Formation energy without anion corrections, meV per atom: 440
&SYSTEM
  ibrav = 0, nat = 8, ntyp = 3
/
ATOMIC_SPECIES
Ge 72.64 Ge.upf
I 126.90 I.upf
O 16.00 O.upf
CELL_PARAMETERS angstrom
-3.573 3.573 4.021
3.573 -3.573 4.021
3.573 3.573 -4.021
ATOMIC_POSITIONS crystal
Ge 0.000 0.000 0.000
Ge 0.750 0.250 0.500
I 0.153 0.125 0.528
I 0.375 0.847 0.972
I 0.597 0.625 0.472
I 0.875 0.403 0.028
O 0.250 0.750 0.500
O 0.500 0.500 0.000

---

Entry 2:
! GeI2O2, relaxed, DFT PBE; values from VASP
! Total magnetization, μB per cell: 0.00
! Total energy, eV per atom: -2.975
! Formation energy without anion corrections, meV per atom: 552
&SYSTEM
  ibrav = 0, nat = 10, ntyp = 3
/
ATOMIC_SPECIES
Ge 72.64 Ge.upf
I 126.90 I.upf
O 16.00 O.upf
CELL_PARAMETERS angstrom
8.338 0.000 0.000
0.000 8.338 0.000
0.000 0.000 2.947
ATOMIC_POSITIONS crystal
Ge 0.000 0.000 0.000
Ge 0.500 0.500 0.000
I 0.191 0.309 0.000
I 0.309 0.809 0.000
I 0.691 0.191 0.000
I 0.809 0.691 0.000
O 0.171 0.671 0.500
O 0.329 0.171 0.500
O 0.671 0.829 0.500
O 0.829 0.329 0.500